Material: ZrFe4P2
Method: DFT, SCAN
State: PBEsol geometry

extended XYZ file:
```
14
Lattice="-1.155 2.458 -2.216 -0.024 -4.562 -5.048 -6.424 -1.649 1.520" Properties=species:S:1:pos:R:3 pbc="T T T"
P -1.450 -3.913 -3.584
P -4.997 -2.298 0.057
P -5.238 -3.261 -3.658
P -2.364 -0.493 -2.085
Fe -6.008 -2.089 -1.956
Fe -2.210 -0.922 0.130
Fe -3.309 -3.317 -4.726
Fe -0.508 -1.697 -1.617
Fe -5.939 -4.514 -1.910
Fe -4.237 -5.289 -3.657
Fe -1.595 -1.665 -3.787
Fe -4.293 -0.437 -1.018
Zr -3.224 -3.106 -1.764
Zr -0.578 1.229 -1.108
```

Computed properties:
- E_form (eV per atom) = -0.616
- calculated volume (Å³/cell) = 162.27
- SG = P4_2/mnm (136)